Cd3IrI, optimized geometry, DFT PBE; spin magnetization = 0.00 μB/f.u.; theoretical density = 7.4 g/cm3
1.0
5.286 0.000 0.000
0.000 5.286 0.000
0.000 0.000 5.286
Cd Ir I
3 1 1
Direct
0.000 0.000 0.500
0.000 0.500 0.000
0.500 0.000 0.000
0.000 0.000 0.000
0.500 0.500 0.500



CdIrI3, optimized geometry, DFT PBE; spin magnetization = 0.00 μB/f.u.; theoretical density = 7.0 g/cm3
1.0
5.454 0.000 0.000
0.000 5.454 0.000
0.000 0.000 5.454
Cd Ir I
1 1 3
Direct
0.000 0.000 0.000
0.500 0.500 0.500
0.000 0.500 0.500
0.500 0.000 0.500
0.500 0.500 0.000



CdIrI2, optimized geometry, DFT PBE; spin magnetization = 1.47 μB/f.u.; theoretical density = 9.3 g/cm3
1.0
0.000 3.683 3.683
3.683 0.000 3.683
3.683 3.683 0.000
Cd Ir I
1 1 2
Direct
0.000 0.000 0.000
0.500 0.500 0.500
0.250 0.250 0.250
0.750 0.750 0.750



no.,energy above the most stable polymorph in this dataset (eV/atom),electronic total energy (eV per atom),N(E_F) (states/eV/cell)
1,0.000,-2.381,2.7
2,0.000,-2.596,3.3
3,0.441,-2.303,3.6